An optimized crystal structure of La2ZrSi. Source: the Alexandria database, functional PBE-GGA.

Values from the calculation:
- ρ (g/cm³) = 6.40
- ΔE_f (raw) (eV/atom) = -0.111
- raw total energy (eV per atom) = -6.07

CIF file:
```
data_La2ZrSi
_chemical_formula_sum 'La2 Zr1 Si1'
_cell_length_a 7.349
_cell_length_b 5.688
_cell_length_c 3.391
_cell_angle_alpha 89.97
_cell_angle_beta 62.57
_cell_angle_gamma 120.58
_symmetry_space_group_name_H-M 'P 1'
_symmetry_Int_Tables_number 1
_symmetry_space_group_name_Hall 'P 1'
loop_
_atom_site_label
_atom_site_fract_x
_atom_site_fract_y
_atom_site_fract_z
_atom_site_occupancy
La1 0.000 0.000 0.000 1
La2 0.500 0.000 0.500 1
Si1 0.000 0.500 0.500 1
Zr1 0.500 0.500 0.000 1
```


An optimized crystal structure of LaZr2Si4. Source: the Alexandria database, functional PBE-GGA.

Values from the calculation:
- ρ (g/cm³) = 5.35
- ΔE_f (raw) (eV/atom) = -0.738
- raw total energy (eV per atom) = -6.98

CIF file:
```
data_LaZr2Si4
_chemical_formula_sum 'La1 Zr2 Si4'
_cell_length_a 3.919
_cell_length_b 4.044
_cell_length_c 8.954
_cell_angle_alpha 103.05
_cell_angle_beta 102.64
_cell_angle_gamma 90.00
_symmetry_space_group_name_H-M 'P 1'
_symmetry_Int_Tables_number 1
_symmetry_space_group_name_Hall 'P 1'
loop_
_atom_site_label
_atom_site_fract_x
_atom_site_fract_y
_atom_site_fract_z
_atom_site_occupancy
La1 0.500 0.000 0.000 1
Zr1 0.814 0.814 0.629 1
Zr2 0.186 0.186 0.371 1
Si1 0.655 0.655 0.311 1
Si2 0.345 0.345 0.689 1
Si3 0.072 0.572 0.143 1
Si4 0.928 0.428 0.857 1
```


An optimized crystal structure of La3Sm8. Source: the Alexandria database, functional PBE-GGA.

Values from the calculation:
- ρ (g/cm³) = 7.17
- raw total energy (eV per atom) = -4.33
- ΔH_f (0 K) (meV per atom) = 442

CIF file:
```
data_La3Sm8
_chemical_formula_sum 'La3 Sm8'
_cell_length_a 7.223
_cell_length_b 7.223
_cell_length_c 7.223
_cell_angle_alpha 86.57
_cell_angle_beta 86.57
_cell_angle_gamma 86.57
_symmetry_space_group_name_H-M 'P 1'
_symmetry_Int_Tables_number 1
_symmetry_space_group_name_Hall 'P 1'
loop_
_atom_site_label
_atom_site_fract_x
_atom_site_fract_y
_atom_site_fract_z
_atom_site_occupancy
La1 0.500 0.000 0.500 1
La2 0.000 0.500 0.500 1
La3 0.500 0.500 0.000 1
Sm1 0.893 0.306 0.141 1
Sm2 0.306 0.141 0.893 1
Sm3 0.141 0.893 0.306 1
Sm4 0.379 0.379 0.379 1
Sm5 0.621 0.621 0.621 1
Sm6 0.859 0.107 0.694 1
Sm7 0.694 0.859 0.107 1
Sm8 0.107 0.694 0.859 1
```


An optimized crystal structure of LaSm4. Source: the Alexandria database, functional PBE-GGA.

Values from the calculation:
- ρ (g/cm³) = 6.49
- raw total energy (eV per atom) = -4.15
- ΔH_f (0 K) (meV per atom) = 606

CIF file:
```
data_LaSm4
_chemical_formula_sum 'La1 Sm4'
_cell_length_a 5.744
_cell_length_b 5.744
_cell_length_c 5.744
_cell_angle_alpha 90.00
_cell_angle_beta 90.00
_cell_angle_gamma 90.00
_symmetry_space_group_name_H-M 'P 1'
_symmetry_Int_Tables_number 1
_symmetry_space_group_name_Hall 'P 1'
loop_
_atom_site_label
_atom_site_fract_x
_atom_site_fract_y
_atom_site_fract_z
_atom_site_occupancy
Sm1 0.000 0.000 0.000 1
Sm2 0.500 0.000 0.500 1
Sm3 0.000 0.500 0.500 1
Sm4 0.500 0.500 0.000 1
La1 0.500 0.500 0.500 1
```


An optimized crystal structure of La2Sm5. Source: the Alexandria database, functional PBE-GGA.

Values from the calculation:
- ρ (g/cm³) = 7.03
- raw total energy (eV per atom) = -4.67
- ΔH_f (0 K) (meV per atom) = 107

CIF file:
```
data_La2Sm5
_chemical_formula_sum 'La2 Sm5'
_cell_length_a 5.710
_cell_length_b 5.710
_cell_length_c 8.835
_cell_angle_alpha 97.42
_cell_angle_beta 103.71
_cell_angle_gamma 115.69
_symmetry_space_group_name_H-M 'P 1'
_symmetry_Int_Tables_number 1
_symmetry_space_group_name_Hall 'P 1'
loop_
_atom_site_label
_atom_site_fract_x
_atom_site_fract_y
_atom_site_fract_z
_atom_site_occupancy
La1 0.429 0.214 0.142 1
La2 0.571 0.786 0.858 1
Sm1 0.140 0.068 0.708 1
Sm2 0.860 0.932 0.292 1
Sm3 0.285 0.641 0.426 1
Sm4 0.715 0.359 0.574 1
Sm5 0.000 0.500 0.000 1
```


An optimized crystal structure of LaSm5. Source: the Alexandria database, functional PBE-GGA.

Values from the calculation:
- ρ (g/cm³) = 7.16
- raw total energy (eV per atom) = -4.73
- ΔH_f (0 K) (meV per atom) = 19

CIF file:
```
data_LaSm5
_chemical_formula_sum 'La1 Sm5'
_cell_length_a 5.159
_cell_length_b 5.157
_cell_length_c 8.182
_cell_angle_alpha 108.37
_cell_angle_beta 90.00
_cell_angle_gamma 90.00
_symmetry_space_group_name_H-M 'P 1'
_symmetry_Int_Tables_number 1
_symmetry_space_group_name_Hall 'P 1'
loop_
_atom_site_label
_atom_site_fract_x
_atom_site_fract_y
_atom_site_fract_z
_atom_site_occupancy
Sm1 0.000 0.669 0.337 1
Sm2 0.000 0.331 0.663 1
Sm3 0.500 0.500 0.000 1
Sm4 0.500 0.167 0.335 1
Sm5 0.500 0.833 0.665 1
La1 0.000 0.000 0.000 1
```


An optimized crystal structure of LaSm2. Source: the Alexandria database, functional PBE-GGA.

Values from the calculation:
- ρ (g/cm³) = 6.74
- raw total energy (eV per atom) = -4.54
- ΔH_f (0 K) (meV per atom) = 244

CIF file:
```
data_LaSm2
_chemical_formula_sum 'La2 Sm4'
_cell_length_a 6.741
_cell_length_b 6.741
_cell_length_c 6.741
_cell_angle_alpha 60.00
_cell_angle_beta 60.00
_cell_angle_gamma 60.00
_symmetry_space_group_name_H-M 'P 1'
_symmetry_Int_Tables_number 1
_symmetry_space_group_name_Hall 'P 1'
loop_
_atom_site_label
_atom_site_fract_x
_atom_site_fract_y
_atom_site_fract_z
_atom_site_occupancy
Sm1 0.125 0.625 0.625 1
Sm2 0.625 0.125 0.625 1
Sm3 0.625 0.625 0.625 1
Sm4 0.625 0.625 0.125 1
La1 0.000 0.000 0.000 1
La2 0.250 0.250 0.250 1
```


An optimized crystal structure of La3Sm5. Source: the Alexandria database, functional PBE-GGA.

Values from the calculation:
- ρ (g/cm³) = 6.93
- raw total energy (eV per atom) = -4.68
- ΔH_f (0 K) (meV per atom) = 114

CIF file:
```
data_La3Sm5
_chemical_formula_sum 'La3 Sm5'
_cell_length_a 3.596
_cell_length_b 6.362
_cell_length_c 12.251
_cell_angle_alpha 90.00
_cell_angle_beta 90.00
_cell_angle_gamma 92.85
_symmetry_space_group_name_H-M 'P 1'
_symmetry_Int_Tables_number 1
_symmetry_space_group_name_Hall 'P 1'
loop_
_atom_site_label
_atom_site_fract_x
_atom_site_fract_y
_atom_site_fract_z
_atom_site_occupancy
La1 0.000 0.000 0.000 1
La2 0.500 0.500 0.500 1
La3 0.500 0.500 0.000 1
Sm1 0.758 0.247 0.252 1
Sm2 0.242 0.753 0.748 1
Sm3 0.242 0.753 0.252 1
Sm4 0.000 0.000 0.500 1
Sm5 0.758 0.247 0.748 1
```


An optimized crystal structure of LaSm2. Source: the Alexandria database, functional PBE-GGA.

Values from the calculation:
- ρ (g/cm³) = 6.95
- raw total energy (eV per atom) = -4.77
- ΔH_f (0 K) (meV per atom) = 22

CIF file:
```
data_LaSm2
_chemical_formula_sum 'La1 Sm2'
_cell_length_a 3.677
_cell_length_b 3.677
_cell_length_c 8.196
_cell_angle_alpha 102.96
_cell_angle_beta 102.96
_cell_angle_gamma 90.00
_symmetry_space_group_name_H-M 'P 1'
_symmetry_Int_Tables_number 1
_symmetry_space_group_name_Hall 'P 1'
loop_
_atom_site_label
_atom_site_fract_x
_atom_site_fract_y
_atom_site_fract_z
_atom_site_occupancy
Sm1 0.669 0.669 0.337 1
Sm2 0.331 0.331 0.663 1
La1 0.000 0.000 0.000 1
```


An optimized crystal structure of La3Sm2. Source: the Alexandria database, functional PBE-GGA.

Values from the calculation:
- ρ (g/cm³) = 6.34
- raw total energy (eV per atom) = -4.60
- ΔH_f (0 K) (meV per atom) = 242

CIF file:
```
data_La3Sm2
_chemical_formula_sum 'La6 Sm4'
_cell_length_a 7.021
_cell_length_b 7.021
_cell_length_c 9.694
_cell_angle_alpha 68.77
_cell_angle_beta 68.77
_cell_angle_gamma 60.00
_symmetry_space_group_name_H-M 'P 1'
_symmetry_Int_Tables_number 1
_symmetry_space_group_name_Hall 'P 1'
loop_
_atom_site_label
_atom_site_fract_x
_atom_site_fract_y
_atom_site_fract_z
_atom_site_occupancy
Sm1 0.810 0.810 0.571 1
Sm2 0.310 0.310 0.071 1
Sm3 0.190 0.190 0.429 1
Sm4 0.690 0.690 0.929 1
La1 0.223 0.750 0.750 1
La2 0.750 0.277 0.750 1
La3 0.277 0.223 0.750 1
La4 0.250 0.723 0.250 1
La5 0.723 0.777 0.250 1
La6 0.777 0.250 0.250 1
```


An optimized crystal structure of La2Sm13. Source: the Alexandria database, functional PBE-GGA.

Values from the calculation:
- ρ (g/cm³) = 7.26
- raw total energy (eV per atom) = -4.69
- ΔH_f (0 K) (meV per atom) = 61

CIF file:
```
data_La2Sm13
_chemical_formula_sum 'La2 Sm13'
_cell_length_a 6.771
_cell_length_b 9.131
_cell_length_c 9.139
_cell_angle_alpha 113.60
_cell_angle_beta 82.33
_cell_angle_gamma 97.79
_symmetry_space_group_name_H-M 'P 1'
_symmetry_Int_Tables_number 1
_symmetry_space_group_name_Hall 'P 1'
loop_
_atom_site_label
_atom_site_fract_x
_atom_site_fract_y
_atom_site_fract_z
_atom_site_occupancy
La1 0.896 0.767 0.567 1
La2 0.104 0.233 0.433 1
Sm1 0.701 0.637 0.036 1
Sm2 0.299 0.363 0.964 1
Sm3 0.000 0.000 0.000 1
Sm4 0.299 0.030 0.629 1
Sm5 0.701 0.970 0.371 1
Sm6 0.099 0.568 0.767 1
Sm7 0.901 0.432 0.233 1
Sm8 0.402 0.598 0.395 1
Sm9 0.598 0.402 0.605 1
Sm10 0.497 0.834 0.833 1
Sm11 0.503 0.166 0.167 1
Sm12 0.795 0.205 0.807 1
Sm13 0.205 0.795 0.193 1
```


An optimized crystal structure of LaSm4. Source: the Alexandria database, functional PBE-GGA.

Values from the calculation:
- ρ (g/cm³) = 7.14
- raw total energy (eV per atom) = -4.75
- ΔH_f (0 K) (meV per atom) = 13

CIF file:
```
data_LaSm4
_chemical_formula_sum 'La1 Sm4'
_cell_length_a 3.655
_cell_length_b 3.655
_cell_length_c 15.042
_cell_angle_alpha 83.02
_cell_angle_beta 83.02
_cell_angle_gamma 59.92
_symmetry_space_group_name_H-M 'P 1'
_symmetry_Int_Tables_number 1
_symmetry_space_group_name_Hall 'P 1'
loop_
_atom_site_label
_atom_site_fract_x
_atom_site_fract_y
_atom_site_fract_z
_atom_site_occupancy
La1 0.000 0.000 0.000 1
Sm1 0.199 0.199 0.401 1
Sm2 0.801 0.801 0.599 1
Sm3 0.600 0.600 0.203 1
Sm4 0.400 0.400 0.797 1
```


An optimized crystal structure of La4Sm5. Source: the Alexandria database, functional PBE-GGA.

Values from the calculation:
- ρ (g/cm³) = 6.85
- raw total energy (eV per atom) = -4.79
- ΔH_f (0 K) (meV per atom) = 20

CIF file:
```
data_La4Sm5
_chemical_formula_sum 'La4 Sm5'
_cell_length_a 5.224
_cell_length_b 8.217
_cell_length_c 8.217
_cell_angle_alpha 84.20
_cell_angle_beta 71.46
_cell_angle_gamma 71.46
_symmetry_space_group_name_H-M 'P 1'
_symmetry_Int_Tables_number 1
_symmetry_space_group_name_Hall 'P 1'
loop_
_atom_site_label
_atom_site_fract_x
_atom_site_fract_y
_atom_site_fract_z
_atom_site_occupancy
La1 0.667 0.000 0.666 1
La2 0.333 0.334 0.000 1
La3 0.333 0.000 0.334 1
La4 0.667 0.666 0.000 1
Sm1 0.665 0.335 0.335 1
Sm2 0.335 0.665 0.665 1
Sm3 0.000 0.000 0.000 1
Sm4 0.000 0.665 0.335 1
Sm5 0.000 0.335 0.665 1
```


An optimized crystal structure of LaSm. Source: the Alexandria database, functional PBE-GGA.

Values from the calculation:
- ρ (g/cm³) = 6.78
- raw total energy (eV per atom) = -4.80
- ΔH_f (0 K) (meV per atom) = 18

CIF file:
```
data_LaSm
_chemical_formula_sum 'La2 Sm2'
_cell_length_a 3.682
_cell_length_b 3.682
_cell_length_c 12.251
_cell_angle_alpha 81.36
_cell_angle_beta 81.36
_cell_angle_gamma 60.00
_symmetry_space_group_name_H-M 'P 1'
_symmetry_Int_Tables_number 1
_symmetry_space_group_name_Hall 'P 1'
loop_
_atom_site_label
_atom_site_fract_x
_atom_site_fract_y
_atom_site_fract_z
_atom_site_occupancy
La1 0.124 0.124 0.627 1
La2 0.876 0.876 0.373 1
Sm1 0.626 0.626 0.121 1
Sm2 0.374 0.374 0.879 1
```